# 1
TlTcB2 | GGA-PBE | optimized geometry

abc: 4.1543 4.1543 4.1543
angles: 60.00 60.00 60.00
Fractional positions:
Tl: 0.5000 0.5000 0.5000
B: 0.2500 0.2500 0.2500
B: 0.7500 0.7500 0.7500
Tc: 0.0000 0.0000 0.0000

final energy	-4.979	eV per atom
energy above the lowest structure with this stoichiometry	62.9	kJ/mol of atoms
calculated formation energy	1.54	eV per atom

---

# 2
Pu9Bi11Rh4 | GGA-PBE | optimized geometry

abc: 3.4360 14.0044 14.0076
angles: 112.70 90.00 90.00
Each line ends with the local moment (μB).
Fractional positions:
Pu: 0.5000 0.6329 0.1441  5.61
Pu: 0.5000 0.3670 0.8560  5.61
Pu: 0.5000 0.1435 0.6324  5.61
Pu: 0.5000 0.8564 0.3676  5.61
Pu: 0.5000 0.7818 0.9346  5.55
Pu: 0.5000 0.2182 0.0653  5.55
Pu: 0.5000 0.9341 0.7819  5.55
Pu: 0.5000 0.0658 0.2181  5.55
Pu: 0.5000 0.5001 0.5000  5.43
Bi: 0.0000 0.5763 0.9052  -0.06
Bi: 0.0000 0.4237 0.0948  -0.06
Bi: 0.0000 0.9050 0.5766  -0.06
Bi: 0.0000 0.0951 0.4234  -0.06
Bi: 0.0000 0.6351 0.3651  -0.02
Bi: 0.0000 0.3650 0.6349  -0.02
Bi: 0.0000 0.8412 0.1592  -0.10
Bi: 0.0000 0.1587 0.8407  -0.10
Bi: 0.0000 0.0000 0.0000  -0.10
Bi: 0.0000 0.6976 0.6979  -0.03
Bi: 0.0000 0.3024 0.3021  -0.03
Rh: 0.5000 0.5460 0.7336  0.06
Rh: 0.5000 0.4541 0.2665  0.06
Rh: 0.5000 0.7333 0.5462  0.06
Rh: 0.5000 0.2669 0.4539  0.06

final energy	-8.639	eV per atom
calculated formation energy	-0.26	eV per atom

---

# 3
Sr5Ca5In2 | GGA-PBE | optimized geometry

abc: 5.7296 10.4253 9.5459
angles: 70.49 72.54 74.05
Fractional positions:
Sr: 0.5000 0.5000 0.5000
Sr: 0.3817 0.3135 0.9231
Sr: 0.3325 0.0050 0.3300
Sr: 0.6675 0.9950 0.6700
Sr: 0.6183 0.6865 0.0769
Ca: 0.9319 0.7262 0.4100
Ca: 0.2568 0.7054 0.7810
Ca: 0.7432 0.2946 0.2190
Ca: 0.0681 0.2738 0.5900
Ca: 0.0000 0.0000 0.0000
In: 0.8537 0.5254 0.7673
In: 0.1463 0.4746 0.2327

final energy	-2.116	eV per atom
calculated formation energy	-0.13	eV per atom

---

# 4
YIr2Cl | GGA-PBE | optimized geometry

abc: 6.3821 6.3821 2.9705
angles: 76.74 76.74 131.09
Fractional positions:
Cl: 0.0000 0.5000 0.5000
Ir: 0.0000 0.0000 0.0000
Ir: 0.5000 0.5000 0.0000
Y: 0.5000 0.0000 0.5000

final energy	-6.674	eV per atom
energy above the lowest structure with this stoichiometry	37.3	kJ/mol of atoms
energy relative to the elements, uncorrected	-0.66	eV/f.u.